1.
DFT (PBE) results for a geometry-optimized CuAg structure.

Properties
The formation energy is 0.094 eV per atom. The theoretical density is 9.53 Mg/m³.

Geometry as POSCAR:
```
CuAg
1.0
3.971 0.000 0.000
0.000 1.985 9.473
0.000 -1.985 9.473
Cu Ag
5 5
Direct
0.000 0.000 0.000
0.000 0.199 0.199
0.000 0.411 0.411
0.500 0.500 0.500
0.500 0.700 0.700
0.000 0.600 0.600
0.000 0.799 0.799
0.500 0.100 0.100
0.500 0.299 0.299
0.500 0.908 0.908
```

***

2.
DFT (PBE) results for a geometry-optimized Cu3Ag7 structure.

Properties
The formation energy is 0.083 eV per atom. The theoretical density is 9.73 Mg/m³. For the distance to the lowest polymorph of the same formula, the calculation gives 52 kJ/mol of formula units.

Geometry as POSCAR:
```
Cu3Ag7
1.0
4.882 0.000 0.000
0.000 2.872 0.000
-1.235 0.000 11.512
Cu Ag
3 7
Direct
0.000 0.000 0.000
0.104 0.500 0.819
0.313 0.500 0.417
0.207 0.000 0.617
0.401 0.000 0.222
0.482 0.500 0.012
0.614 0.000 0.815
0.707 0.500 0.610
0.823 0.000 0.408
0.907 0.500 0.197
```